Arrangement 1

Tb2Pm6Sm3 | GGA-PBE | relaxed

Cell and atoms, written as POSCAR:
```
Tb2Pm6Sm3
1.0
-2.405 2.405 16.874
2.405 -2.405 16.874
2.405 2.405 -16.874
Tb Pm Sm
2 6 3
Cartesian
0.000 0.000 1.530
0.000 0.000 32.218
2.405 0.000 4.052
0.000 0.000 6.723
2.405 0.000 12.822
0.000 2.405 4.052
0.000 0.000 27.025
0.000 2.405 12.822
0.000 0.000 10.159
0.000 0.000 16.874
0.000 0.000 23.589
```

* total magnetization: 0.000 μB per formula unit
* space group: I4/mmm, No. 139

***

Arrangement 2

Tb2Pm6Sm3 | GGA-PBE | relaxed

Cell and atoms, written as POSCAR:
```
Tb2Pm6Sm3
1.0
1.813 1.047 32.557
-1.813 1.047 32.557
0.000 -2.094 32.557
Tb Pm Sm
2 6 3
Cartesian
0.000 0.000 4.428
0.000 0.000 93.243
0.000 0.000 13.304
0.000 0.000 31.056
0.000 0.000 39.911
0.000 0.000 57.760
0.000 0.000 66.615
0.000 0.000 84.367
0.000 0.000 22.223
0.000 0.000 48.835
0.000 0.000 75.448
```

* total magnetization: 0.000 μB per formula unit
* space group: R-3m, No. 166

***

The structure with the greatest stability is arrangement 2.

***

Arrangement 1

Tb6Pm3Sm | GGA-PBE | relaxed

Cell and atoms, written as POSCAR:
```
Tb6Pm3Sm
1.0
5.498 -9.507 0.000
5.498 9.507 0.000
0.000 0.000 6.363
Tb Pm Sm
12 6 2
Cartesian
5.498 8.763 3.182
2.868 3.978 6.359
5.498 4.304 4.596
3.660 0.848 5.243
3.660 -0.848 2.062
2.868 -3.978 3.178
8.128 3.978 6.359
7.336 0.848 5.243
7.336 -0.848 2.062
5.498 -4.304 1.414
8.128 -3.978 3.178
5.498 -8.763 0.000
1.934 2.162 2.607
1.934 -2.162 5.789
5.498 2.141 1.903
5.498 -2.141 5.085
9.062 2.162 2.607
9.062 -2.162 5.789
5.498 5.797 1.543
5.498 -5.797 4.725
```

* total magnetization: 0.000 μB per formula unit
* space group: Cmc2_1, No. 36

***

Arrangement 2

Tb6Pm3Sm | GGA-PBE | relaxed

Cell and atoms, written as POSCAR:
```
Tb6Pm3Sm
1.0
4.973 2.871 3.898
-4.973 2.871 3.898
0.000 -5.742 3.898
Tb Pm Sm
6 3 1
Cartesian
-1.622 -2.924 3.898
-3.251 0.004 5.843
-1.721 2.867 3.898
1.622 -2.817 5.843
3.344 0.057 3.898
1.629 2.813 5.843
0.000 0.000 5.836
0.000 0.000 8.757
0.000 0.000 11.683
0.000 0.000 2.911
```

* total magnetization: 0.000 μB per formula unit
* space group: R3, No. 146

***

The structure with the greatest stability is arrangement 1.

***

Arrangement 1

Tb5Pm2Sm | GGA-PBE | relaxed

Cell and atoms, written as POSCAR:
```
Tb5Pm2Sm
1.0
8.207 -4.977 0.000
8.207 4.977 0.000
-0.956 0.000 6.466
Tb Pm Sm
10 4 2
Cartesian
7.490 4.402 4.850
3.223 0.887 0.149
2.745 -0.887 3.382
5.766 0.889 5.537
6.244 -0.889 2.304
9.215 0.889 4.163
9.692 -0.889 0.930
12.713 0.887 3.084
12.236 -0.887 6.318
7.968 -4.402 1.617
6.560 2.454 2.480
9.376 2.454 0.753
6.083 -2.454 5.713
8.898 -2.454 3.986
3.626 2.488 3.233
4.104 -2.488 0.000
```

* total magnetization: 0.000 μB per formula unit
* space group: C2/c, No. 15

***

Arrangement 2

Tb5Pm2Sm | GGA-PBE | relaxed

Cell and atoms, written as POSCAR:
```
Tb5Pm2Sm
1.0
7.187 0.000 0.000
0.000 14.375 0.000
0.000 0.000 5.072
Tb Pm Sm
10 4 2
Cartesian
0.000 0.000 0.000
0.001 3.588 0.000
7.186 10.787 0.000
1.797 1.802 2.536
1.796 8.989 2.536
3.595 3.599 0.000
3.594 7.187 0.000
3.593 10.775 0.000
5.391 5.385 2.536
5.390 12.573 2.536
1.800 5.386 2.536
1.794 12.574 2.536
5.394 1.801 2.536
5.387 8.989 2.536
0.000 7.187 0.000
3.594 0.000 0.000
```

* total magnetization: 0.000 μB per formula unit
* space group: Pbam, No. 55

***

The structure with the greatest stability is arrangement 2.

***

Arrangement 1

Tb4PmSm3 | GGA-PBE | relaxed

Cell and atoms, written as POSCAR:
```
Tb4PmSm3
1.0
11.531 0.000 0.000
0.000 7.318 0.000
0.000 0.000 6.322
Tb Pm Sm
8 2 6
Cartesian
0.000 0.901 0.000
0.000 6.416 3.159
2.886 0.902 2.102
2.879 6.416 5.263
5.765 0.902 6.320
5.765 6.417 3.161
8.644 0.902 2.102
8.652 6.416 5.263
0.000 2.732 3.158
5.765 4.586 6.319
0.000 4.583 6.317
2.884 2.732 5.266
2.882 4.586 2.105
5.765 2.736 3.156
8.647 2.732 5.266
8.649 4.586 2.105
```

* total magnetization: 0.001 μB per formula unit
* space group: Pmn2_1, No. 31

***

Arrangement 2

Tb4PmSm3 | GGA-PBE | relaxed

Cell and atoms, written as POSCAR:
```
Tb4PmSm3
1.0
10.163 0.000 0.000
0.000 7.202 0.000
0.000 0.000 7.198
Tb Pm Sm
8 2 6
Cartesian
0.000 0.000 0.000
0.000 3.601 3.599
2.541 1.802 1.800
2.541 5.400 5.399
5.082 0.000 3.599
5.082 3.601 0.000
7.622 1.802 1.800
7.622 5.400 5.399
0.000 0.000 3.599
5.082 0.000 0.000
0.000 3.601 0.000
2.541 1.803 5.399
2.541 5.399 1.800
5.082 3.601 3.599
7.622 1.803 5.399
7.622 5.399 1.800
```

* total magnetization: 0.000 μB per formula unit
* space group: Pmna, No. 53

***

The structure with the greatest stability is arrangement 2.